# 1
First-principles (PBE-GGA) data for an optimized crystal structure of LiTlTcMo2, as listed in Alexandria.

Unit cell a=4.316 b=4.316 c=4.290 alpha=90.00 beta=90.00 gamma=90.00
Fractional coordinates of all 5 atoms:
Li: 0.000 0.000 0.000
Tl: 0.500 0.500 0.500
Tc: 0.000 0.000 0.500
Mo: 0.000 0.500 0.000
Mo: 0.500 0.000 0.000

Summary:
- crystal system = tetragonal
- energy relative to the elements (kcal/mol of atoms) = 29.8
- space-group type = No. 123

***

# 2
First-principles (PBE-GGA) data for an optimized crystal structure of Pr2TiP3Rh4, as listed in Alexandria.

Unit cell a=4.062 b=4.062 c=10.445 alpha=90.00 beta=90.00 gamma=90.00
Fractional coordinates of all 10 atoms:
Pr: 0.000 0.500 0.239
Pr: 0.500 0.000 0.761
Ti: 0.000 0.000 0.500
P: 0.000 0.500 0.865
P: 0.500 0.000 0.135
P: 0.500 0.500 0.500
Rh: 0.000 0.000 0.000
Rh: 0.000 0.500 0.637
Rh: 0.500 0.000 0.363
Rh: 0.500 0.500 0.000

Summary:
- crystal system = tetragonal
- energy relative to the elements (kcal/mol of atoms) = -24.5
- space-group type = No. 115

***

What did we get for ρ? Answer: 10412; 8036 kg/m³, in the order shown.